Compound: SnSbTe2H
Source: the Alexandria database
Functional: PBE
Structure: relaxed

Calculated values
energy above the most stable polymorph in this dataset: 0.688 eV per atom
calculated density: 4.26 Mg/m³
magnetization: 0.096 μB per atom
space-group type: P4/mmm (123)

abc: 5.8146 5.8146 5.7283
angles: 90.00 90.00 90.00
Closest atoms and distances in Å follow each position.
Fractional coordinates of all 5 atoms:
Sn (0.0000, 0.0000, 0.0000)  2 Sb 2.86, 4 Te 2.91
Sb (0.0000, 0.0000, 0.5000)  2 Sn 2.86
Te (0.0000, 0.5000, 0.0000)  2 Sn 2.91
Te (0.5000, 0.0000, 0.0000)  2 Sn 2.91
H (0.5000, 0.5000, 0.5000)  8 Te 4.08, 4 Sb 4.11